Record 1
Here is a geometry-optimized Zn2TcOs structure from Alexandria. Energies are from PBE-GGA.

CIF file:
```
data_Zn2TcOs
_symmetry_space_group_name_H-M 'I m m 2'
_symmetry_Int_Tables_number 44
_cell_length_a 2.987
_cell_length_b 4.372
_cell_length_c 8.609
_cell_angle_alpha 90.00
_cell_angle_beta 90.00
_cell_angle_gamma 90.00
loop_
_symmetry_equiv_pos_as_xyz
'x,y,z'
'-x,-y,z'
'-x,y,z'
'x,-y,z'
'x+1/2,y+1/2,z+1/2'
'-x+1/2,-y+1/2,z+1/2'
'-x+1/2,y+1/2,z+1/2'
'x+1/2,-y+1/2,z+1/2'
loop_
_atom_site_label
_atom_site_type_symbol
_atom_site_fract_x
_atom_site_fract_y
_atom_site_fract_z
Zn1 Zn 0.000 0.000 0.000
Zn2 Zn 0.000 0.500 0.259
Tc1 Tc 0.000 0.500 0.756
Os1 Os 0.000 0.000 0.506
```

Output
The formation energy comes out at 0.211 eV/atom. The final energy comes out at -5.8248 eV/atom.

---

Record 2
Here is a geometry-optimized LiHRu2W structure from Alexandria. Energies are from PBE-GGA.

CIF file:
```
data_LiHRu2W
_symmetry_space_group_name_H-M 'P 4/m m m'
_symmetry_Int_Tables_number 123
_symmetry_space_group_name_Hall '-P 4 2'
_cell_length_a 4.796
_cell_length_b 4.796
_cell_length_c 3.279
_cell_angle_alpha 90.00
_cell_angle_beta 90.00
_cell_angle_gamma 90.00
loop_
_atom_site_label
_atom_site_type_symbol
_atom_site_fract_x
_atom_site_fract_y
_atom_site_fract_z
Li1 Li 0.000 0.000 0.000
H1 H 0.500 0.500 0.000
Ru1 Ru 0.000 0.500 0.500
W1 W 0.500 0.500 0.500
```

Output
The final energy comes out at -6.3837 eV/atom.

---

Record 3
Here is a geometry-optimized SrTcRh structure from Alexandria. Energies are from PBE-GGA.

CIF file:
```
data_SrTcRh
_symmetry_space_group_name_H-M 'P 63/m m c'
_symmetry_Int_Tables_number 194
_symmetry_space_group_name_Hall '-P 6c 2c'
_cell_length_a 5.3000
_cell_length_b 5.3000
_cell_length_c 9.0900
_cell_angle_alpha 90.00
_cell_angle_beta 90.00
_cell_angle_gamma 120.00
loop_
_atom_site_label
_atom_site_type_symbol
_atom_site_fract_x
_atom_site_fract_y
_atom_site_fract_z
Sr1 Sr 0.3333 0.6667 0.2500
Tc1 Tc 0.0000 0.0000 0.2500
Rh1 Rh 0.0000 0.0000 0.0000
```

Output
The formation energy comes out at 1.440 eV/atom. The final energy comes out at -5.0268 eV/atom.

---

Record 4
Here is a geometry-optimized SiHgH structure from Alexandria. Energies are from PBE-GGA.

CIF file:
```
data_SiHgH
_symmetry_space_group_name_H-M 'C 1 c 1'
_symmetry_Int_Tables_number 9
_cell_length_a 13.823
_cell_length_b 4.848
_cell_length_c 12.156
_cell_angle_alpha 90.00
_cell_angle_beta 120.65
_cell_angle_gamma 90.00
loop_
_symmetry_equiv_pos_as_xyz
'x,y,z'
'x,-y,z+1/2'
'x+1/2,y+1/2,z'
'x+1/2,-y+1/2,z+1/2'
loop_
_atom_site_label
_atom_site_type_symbol
_atom_site_fract_x
_atom_site_fract_y
_atom_site_fract_z
Si1 Si 0.000 0.063 0.000
Si2 Si 0.164 0.099 0.207
Si3 Si 0.356 0.315 0.079
Hg1 Hg 0.059 0.409 0.427
Hg2 Hg 0.173 0.397 0.779
Hg3 Hg 0.322 0.180 0.506
H1 H 0.257 0.109 0.174
H2 H 0.425 0.339 0.224
H3 H 0.464 0.288 0.061
```

Output
The final energy comes out at -2.6832 eV/atom.

---

Record 5
Here is a geometry-optimized K2ZrPb structure from Alexandria. Energies are from PBE-GGA.

CIF file:
```
data_K2ZrPb
_symmetry_space_group_name_H-M 'C 1 m 1'
_symmetry_Int_Tables_number 8
_cell_length_a 9.881
_cell_length_b 3.450
_cell_length_c 9.648
_cell_angle_alpha 90.00
_cell_angle_beta 93.78
_cell_angle_gamma 90.00
loop_
_symmetry_equiv_pos_as_xyz
'x,y,z'
'x,-y,z'
'x+1/2,y+1/2,z'
'x+1/2,-y+1/2,z'
loop_
_atom_site_label
_atom_site_type_symbol
_atom_site_fract_x
_atom_site_fract_y
_atom_site_fract_z
K1 K 0.000 0.000 0.000
K2 K 0.228 0.000 0.632
Zr1 Zr 0.258 0.500 0.268
Pb1 Pb 0.493 0.000 0.383
```

Output
The formation energy comes out at 0.348 eV/atom. The final energy comes out at -3.2645 eV/atom.

---

Record 6
Here is a geometry-optimized CsSbF2 structure from Alexandria. Energies are from PBE-GGA.

CIF file:
```
data_CsSbF2
_symmetry_space_group_name_H-M 'R -3 m'
_symmetry_Int_Tables_number 166
_symmetry_space_group_name_Hall '-R 3 2"'
_cell_length_a 3.8685
_cell_length_b 3.8685
_cell_length_c 24.3551
_cell_angle_alpha 90.00
_cell_angle_beta 90.00
_cell_angle_gamma 120.00
loop_
_atom_site_label
_atom_site_type_symbol
_atom_site_fract_x
_atom_site_fract_y
_atom_site_fract_z
Cs1 Cs 0.0000 0.0000 0.0000
Sb1 Sb 0.0000 0.0000 0.5000
F1 F 0.0000 0.0000 0.4096
```

Output
The formation energy from raw total energies comes out at -7.645 eV/f.u. The final energy comes out at -4.0910 eV/atom.

---

Record 7
Here is a geometry-optimized BeH8Cl2O4 structure from Alexandria. Energies are from PBE-GGA.

CIF file:
```
data_BeH8Cl2O4
_symmetry_space_group_name_H-M 'P 1 21/c 1'
_symmetry_Int_Tables_number 14
_cell_length_a 6.665
_cell_length_b 13.178
_cell_length_c 7.969
_cell_angle_alpha 90.00
_cell_angle_beta 104.64
_cell_angle_gamma 90.00
loop_
_symmetry_equiv_pos_as_xyz
'x,y,z'
'-x,-y,-z'
'-x,y+1/2,-z+1/2'
'x,-y+1/2,z+1/2'
loop_
_atom_site_label
_atom_site_type_symbol
_atom_site_fract_x
_atom_site_fract_y
_atom_site_fract_z
Be1 Be 0.189 0.089 0.273
H1 H 0.017 0.160 0.459
H2 H 0.108 0.656 0.415
H3 H 0.141 0.539 0.364
H4 H 0.229 0.112 0.576
H5 H 0.260 0.584 0.865
H6 H 0.365 0.146 0.081
H7 H 0.405 0.543 0.744
H8 H 0.479 0.184 0.277
Cl1 Cl 0.255 0.709 0.015
Cl2 Cl 0.334 0.076 0.833
O1 O 0.035 0.592 0.371
O2 O 0.155 0.131 0.455
O3 O 0.286 0.525 0.794
O4 O 0.345 0.162 0.197
```

Output
The final energy comes out at -4.8248 eV/atom.

---

Record 8
Here is a geometry-optimized Er2ScBe3Pt4 structure from Alexandria. Energies are from PBE-GGA.

CIF file:
```
data_Er2ScBe3Pt4
_symmetry_space_group_name_H-M 'P -4 m 2'
_symmetry_Int_Tables_number 115
_cell_length_a 3.982
_cell_length_b 3.982
_cell_length_c 10.537
_cell_angle_alpha 90.00
_cell_angle_beta 90.00
_cell_angle_gamma 90.00
loop_
_symmetry_equiv_pos_as_xyz
'x,y,z'
'y,-x,-z'
'-x,-y,z'
'-y,x,-z'
'-x,y,z'
'-y,-x,-z'
'x,-y,z'
'y,x,-z'
loop_
_atom_site_label
_atom_site_type_symbol
_atom_site_fract_x
_atom_site_fract_y
_atom_site_fract_z
Er1 Er 0.000 0.500 0.228
Sc1 Sc 0.000 0.000 0.500
Be1 Be 0.000 0.500 0.886
Be2 Be 0.500 0.500 0.500
Pt1 Pt 0.000 0.000 0.000
Pt2 Pt 0.000 0.500 0.663
Pt3 Pt 0.500 0.500 0.000
```

Output
The formation energy comes out at -0.939 eV/atom. The final energy comes out at -6.0191 eV/atom.

---

Record 9
Here is a geometry-optimized RbMg12Cd7 structure from Alexandria. Energies are from PBE-GGA.

CIF file:
```
data_RbMg12Cd7
_symmetry_space_group_name_H-M 'R -3 m'
_symmetry_Int_Tables_number 166
_symmetry_space_group_name_Hall '-R 3 2"'
_cell_length_a 14.7800
_cell_length_b 14.7800
_cell_length_c 7.9031
_cell_angle_alpha 90.00
_cell_angle_beta 90.00
_cell_angle_gamma 120.00
loop_
_atom_site_label
_atom_site_type_symbol
_atom_site_fract_x
_atom_site_fract_y
_atom_site_fract_z
Rb1 Rb 0.0000 0.0000 0.0000
Mg1 Mg 0.0000 0.2673 0.0000
Mg2 Mg 0.1096 0.2191 0.3501
Cd1 Cd 0.0000 0.0000 0.5000
Cd2 Cd 0.1028 0.5514 0.3916
```

Output
The formation energy comes out at 0.009 eV/atom. The final energy comes out at -1.3163 eV/atom.

---

Record 10
Here is a geometry-optimized Pr3Cd2Pb structure from Alexandria. Energies are from PBE-GGA.

CIF file:
```
data_Pr3Cd2Pb
_symmetry_space_group_name_H-M 'C m m m'
_symmetry_Int_Tables_number 65
_symmetry_space_group_name_Hall '-C 2 2'
_cell_length_a 5.518
_cell_length_b 16.703
_cell_length_c 3.902
_cell_angle_alpha 90.00
_cell_angle_beta 90.00
_cell_angle_gamma 90.00
loop_
_atom_site_label
_atom_site_type_symbol
_atom_site_fract_x
_atom_site_fract_y
_atom_site_fract_z
Pr1 Pr 0.000 0.000 0.000
Pr2 Pr 0.000 0.332 0.000
Cd1 Cd 0.000 0.173 0.500
Pb1 Pb 0.000 0.500 0.500
```

Output
The formation energy comes out at -0.398 eV/atom. The final energy comes out at -3.7104 eV/atom.

---

Record 11
Here is a geometry-optimized Ag5Ir structure from Alexandria. Energies are from PBE-GGA.

CIF file:
```
data_Ag5Ir
_symmetry_space_group_name_H-M 'C 1 m 1'
_symmetry_Int_Tables_number 8
_cell_length_a 10.896
_cell_length_b 2.793
_cell_length_c 7.023
_cell_angle_alpha 90.00
_cell_angle_beta 105.36
_cell_angle_gamma 90.00
loop_
_symmetry_equiv_pos_as_xyz
'x,y,z'
'x,-y,z'
'x+1/2,y+1/2,z'
'x+1/2,-y+1/2,z'
loop_
_atom_site_label
_atom_site_type_symbol
_atom_site_fract_x
_atom_site_fract_y
_atom_site_fract_z
Ag1 Ag 0.000 0.000 0.000
Ag2 Ag 0.057 0.000 0.623
Ag3 Ag 0.163 0.500 0.333
Ag4 Ag 0.328 0.000 0.672
Ag5 Ag 0.388 0.000 0.284
Ir1 Ir 0.224 0.500 0.954
```

Output
The formation energy comes out at 0.229 eV/atom. The final energy comes out at -3.6241 eV/atom.

---

Record 12
Here is a geometry-optimized TaSbCl3 structure from Alexandria. Energies are from PBE-GGA.

CIF file:
```
data_TaSbCl3
_symmetry_space_group_name_H-M 'P m -3 m'
_symmetry_Int_Tables_number 221
_symmetry_space_group_name_Hall '-P 4 2 3'
_cell_length_a 5.407
_cell_length_b 5.407
_cell_length_c 5.407
_cell_angle_alpha 90.00
_cell_angle_beta 90.00
_cell_angle_gamma 90.00
loop_
_atom_site_label
_atom_site_type_symbol
_atom_site_fract_x
_atom_site_fract_y
_atom_site_fract_z
Ta1 Ta 0.000 0.000 0.000
Sb1 Sb 0.500 0.500 0.500
Cl1 Cl 0.000 0.500 0.500
```

Output
The formation energy from raw total energies comes out at 4.249 eV/f.u. The final energy comes out at -3.4532 eV/atom.

---

Record 13
Here is a geometry-optimized LaCu3PtRh structure from Alexandria. Energies are from PBE-GGA.

CIF file:
```
data_LaCu3PtRh
_symmetry_space_group_name_H-M 'C m c m'
_symmetry_Int_Tables_number 63
_symmetry_space_group_name_Hall '-C 2c 2'
_cell_length_a 5.560
_cell_length_b 14.243
_cell_length_c 5.298
_cell_angle_alpha 90.00
_cell_angle_beta 90.00
_cell_angle_gamma 90.00
loop_
_atom_site_label
_atom_site_type_symbol
_atom_site_fract_x
_atom_site_fract_y
_atom_site_fract_z
La1 La 0.000 0.205 0.250
Cu1 Cu 0.000 0.386 0.750
Cu2 Cu 0.234 0.000 0.000
Pt1 Pt 0.000 0.132 0.750
Rh1 Rh 0.000 0.385 0.250
```

Output
The formation energy comes out at -0.296 eV/atom. The final energy comes out at -5.3970 eV/atom.

---

Record 14
Here is a geometry-optimized AcPaPb2O6 structure from Alexandria. Energies are from PBE-GGA.

CIF file:
```
data_AcPaPb2O6
_symmetry_space_group_name_H-M 'P 1 21/c 1'
_symmetry_Int_Tables_number 14
_cell_length_a 6.122
_cell_length_b 6.479
_cell_length_c 10.774
_cell_angle_alpha 90.00
_cell_angle_beta 124.07
_cell_angle_gamma 90.00
loop_
_symmetry_equiv_pos_as_xyz
'x,y,z'
'-x,-y,-z'
'-x,y+1/2,-z+1/2'
'x,-y+1/2,z+1/2'
loop_
_atom_site_label
_atom_site_type_symbol
_atom_site_fract_x
_atom_site_fract_y
_atom_site_fract_z
Ac1 Ac 0.000 0.000 0.000
Pa1 Pa 0.500 0.000 0.500
Pb1 Pb 0.237 0.029 0.745
O1 O 0.143 0.168 0.446
O2 O 0.275 0.710 0.435
O3 O 0.394 0.044 0.268
```

Output
The formation energy from raw total energies comes out at -25.443 eV/f.u. The final energy comes out at -7.6213 eV/atom.

---

Record 15
Here is a geometry-optimized Pm2CoMoN5 structure from Alexandria. Energies are from PBE-GGA.

CIF file:
```
data_Pm2CoMoN5
_symmetry_space_group_name_H-M 'C m c 21'
_symmetry_Int_Tables_number 36
_cell_length_a 3.224
_cell_length_b 14.223
_cell_length_c 9.982
_cell_angle_alpha 90.00
_cell_angle_beta 90.00
_cell_angle_gamma 90.00
loop_
_symmetry_equiv_pos_as_xyz
'x,y,z'
'-x,-y,z+1/2'
'-x,y,z'
'x,-y,z+1/2'
'x+1/2,y+1/2,z'
'-x+1/2,-y+1/2,z+1/2'
'-x+1/2,y+1/2,z'
'x+1/2,-y+1/2,z+1/2'
loop_
_atom_site_label
_atom_site_type_symbol
_atom_site_fract_x
_atom_site_fract_y
_atom_site_fract_z
Pm1 Pm 0.000 0.118 0.000
Pm2 Pm 0.000 0.122 0.618
Co1 Co 0.000 0.447 0.751
Mo1 Mo 0.000 0.209 0.322
N1 N 0.000 0.026 0.312
N2 N 0.000 0.303 0.959
N3 N 0.000 0.321 0.680
N4 N 0.000 0.336 0.307
N5 N 0.000 0.498 0.579
```

Output
The formation energy from raw total energies comes out at -5.762 eV/f.u. The final energy comes out at -8.3141 eV/atom.

---

Record 16
Here is a geometry-optimized Dy5InSe4 structure from Alexandria. Energies are from PBE-GGA.

CIF file:
```
data_Dy5InSe4
_symmetry_space_group_name_H-M 'I 4/m'
_symmetry_Int_Tables_number 87
_symmetry_space_group_name_Hall '-I 4'
_cell_length_a 9.284
_cell_length_b 9.284
_cell_length_c 5.856
_cell_angle_alpha 90.00
_cell_angle_beta 90.00
_cell_angle_gamma 90.00
loop_
_atom_site_label
_atom_site_type_symbol
_atom_site_fract_x
_atom_site_fract_y
_atom_site_fract_z
Dy1 Dy 0.000 0.000 0.000
Dy2 Dy 0.100 0.305 0.500
In1 In 0.000 0.000 0.500
Se1 Se 0.101 0.301 0.000
```

Output
The formation energy from raw total energies comes out at -14.858 eV/f.u. The final energy comes out at -5.4546 eV/atom.

---

Record 17
Here is a geometry-optimized YTmInPt structure from Alexandria. Energies are from PBE-GGA.

CIF file:
```
data_YTmInPt
_symmetry_space_group_name_H-M 'F -4 3 m'
_symmetry_Int_Tables_number 216
_symmetry_space_group_name_Hall 'F -4 2 3'
_cell_length_a 7.213
_cell_length_b 7.213
_cell_length_c 7.213
_cell_angle_alpha 90.00
_cell_angle_beta 90.00
_cell_angle_gamma 90.00
loop_
_atom_site_label
_atom_site_type_symbol
_atom_site_fract_x
_atom_site_fract_y
_atom_site_fract_z
Y1 Y 0.000 0.000 0.000
Tm1 Tm 0.000 0.000 0.500
In1 In 0.250 0.250 0.750
Pt1 Pt 0.250 0.250 0.250
```

Output
The formation energy comes out at -0.768 eV/atom. The final energy comes out at -5.6963 eV/atom.

---

Record 18
Here is a geometry-optimized CaGaAg3 structure from Alexandria. Energies are from PBE-GGA.

CIF file:
```
data_CaGaAg3
_symmetry_space_group_name_H-M 'C 1 m 1'
_symmetry_Int_Tables_number 8
_cell_length_a 5.989
_cell_length_b 5.995
_cell_length_c 6.703
_cell_angle_alpha 90.00
_cell_angle_beta 116.13
_cell_angle_gamma 90.00
loop_
_symmetry_equiv_pos_as_xyz
'x,y,z'
'x,-y,z'
'x+1/2,y+1/2,z'
'x+1/2,-y+1/2,z'
loop_
_atom_site_label
_atom_site_type_symbol
_atom_site_fract_x
_atom_site_fract_y
_atom_site_fract_z
Ca1 Ca 0.000 0.000 0.000
Ga1 Ga 0.391 0.000 0.783
Ag1 Ag 0.010 0.249 0.519
Ag2 Ag 0.104 0.500 0.206
```

Output
The formation energy comes out at -0.204 eV/atom. The final energy comes out at -2.9202 eV/atom.

---

Record 19
Here is a geometry-optimized Tm2PuHg6 structure from Alexandria. Energies are from PBE-GGA.

CIF file:
```
data_Tm2PuHg6
_symmetry_space_group_name_H-M 'C 1 2/c 1'
_symmetry_Int_Tables_number 15
_cell_length_a 14.430
_cell_length_b 11.610
_cell_length_c 5.428
_cell_angle_alpha 90.00
_cell_angle_beta 99.78
_cell_angle_gamma 90.00
loop_
_symmetry_equiv_pos_as_xyz
'x,y,z'
'-x,-y,-z'
'-x,y,-z+1/2'
'x,-y,z+1/2'
'x+1/2,y+1/2,z'
'-x+1/2,-y+1/2,-z'
'-x+1/2,y+1/2,-z+1/2'
'x+1/2,-y+1/2,z+1/2'
loop_
_atom_site_label
_atom_site_type_symbol
_atom_site_fract_x
_atom_site_fract_y
_atom_site_fract_z
Tm1 Tm 0.165 0.125 0.086
Pu1 Pu 0.000 0.379 0.250
Hg1 Hg 0.054 0.122 0.529
Hg2 Hg 0.116 0.370 0.805
Hg3 Hg 0.227 0.375 0.360
```

Output
The formation energy comes out at -0.275 eV/atom. The final energy comes out at -3.0622 eV/atom.

---

Record 20
Here is a geometry-optimized Be2SiGe structure from Alexandria. Energies are from PBE-GGA.

CIF file:
```
data_Be2SiGe
_symmetry_space_group_name_H-M 'F m -3 m'
_symmetry_Int_Tables_number 225
_symmetry_space_group_name_Hall '-F 4 2 3'
_cell_length_a 5.883
_cell_length_b 5.883
_cell_length_c 5.883
_cell_angle_alpha 90.00
_cell_angle_beta 90.00
_cell_angle_gamma 90.00
loop_
_atom_site_label
_atom_site_type_symbol
_atom_site_fract_x
_atom_site_fract_y
_atom_site_fract_z
Be1 Be 0.250 0.250 0.250
Si1 Si 0.000 0.000 0.000
Ge1 Ge 0.000 0.000 0.500
```

Output
The formation energy from raw total energies comes out at 2.296 eV/f.u. The final energy comes out at -3.7993 eV/atom.